# 1
Pm4Ho5Er: optimized geometry, GGA-PBE.

Computed properties:
- Magnetic moment: 0.00 μB per formula unit
- Crystal system: monoclinic
- DOS at the Fermi energy: 26.7 states/eV/cell
- Formation enthalpy at 0 K: 0.189 eV/atom
- DFT total energy: -4.46 eV per atom

abc: 17.1352 3.5233 11.1563
angles: 90.00 90.03 90.00
Space group C2/m (No. 12)
Inequivalent atoms, fractional coordinates:
Pm1 0.0307 0.0000 0.2497 (multiplicity 4)
Pm2 0.1558 0.5000 0.7499 (multiplicity 4)
Ho1 0.0000 0.5000 0.5000 (multiplicity 2)
Ho2 0.1734 0.0000 0.0511 (multiplicity 4)
Ho3 0.1736 0.0000 0.4481 (multiplicity 4)
Er1 0.0000 0.5000 0.0000 (multiplicity 2)

---

# 2
Pm3Ho2Er2: optimized geometry, GGA-PBE.

Computed properties:
- Magnetic moment: 0.00 μB per formula unit
- Crystal system: monoclinic
- DOS at the Fermi energy: 21.8 states/eV/cell
- Formation enthalpy at 0 K: 0.113 eV/atom
- DFT total energy: -4.53 eV per atom

abc: 17.4867 3.5052 8.5280
angles: 90.00 118.85 90.00
Space group C2/m (No. 12)
Inequivalent atoms, fractional coordinates:
Pm1 0.0000 0.0000 0.0000 (multiplicity 2)
Pm2 0.2128 0.0000 0.2991 (multiplicity 4)
Ho1 0.0646 0.5000 0.4100 (multiplicity 4)
Er1 0.1447 0.0000 0.8236 (multiplicity 4)

---

# 3
PmHo7Er4: optimized geometry, GGA-PBE.

Computed properties:
- Magnetic moment: 0.00 μB per formula unit
- Crystal system: triclinic
- DOS at the Fermi energy: 20.6 states/eV/cell
- Formation enthalpy at 0 K: 0.088 eV/atom
- DFT total energy: -4.50 eV per atom

abc: 6.4555 6.7838 8.9585
angles: 85.73 76.51 81.73
Space group P-1 (No. 2)
Inequivalent atoms, fractional coordinates:
Pm1 0.0000 0.0000 0.0000 (multiplicity 1)
Ho1 0.0000 0.5000 0.0000 (multiplicity 1)
Ho2 0.1932 0.1011 0.3868 (multiplicity 2)
Ho3 0.3144 0.7053 0.6440 (multiplicity 2)
Ho4 0.4831 0.2524 0.0490 (multiplicity 2)
Er1 0.1645 0.6083 0.3164 (multiplicity 2)
Er2 0.3570 0.2001 0.7109 (multiplicity 2)

---

# 4
PmHo6Er4: optimized geometry, GGA-PBE.

Computed properties:
- Magnetic moment: 0.00 μB per formula unit
- Crystal system: orthorhombic
- DOS at the Fermi energy: 78.2 states/eV/cell
- Formation enthalpy at 0 K: 0.125 eV/atom
- DFT total energy: -4.46 eV per atom

abc: 5.6454 9.5953 25.5353
angles: 90.00 90.00 90.00
Space group Cmcm (No. 63)
Inequivalent atoms, fractional coordinates:
Pm1 0.0000 0.1826 0.2500 (multiplicity 4)
Ho1 0.0000 0.1485 0.6807 (multiplicity 8)
Ho2 0.0000 0.1840 0.1019 (multiplicity 8)
Ho3 0.0000 0.4832 0.7500 (multiplicity 4)
Ho4 0.0000 0.5000 0.0000 (multiplicity 4)
Er1 0.0000 0.1599 0.5419 (multiplicity 8)
Er2 0.0000 0.4788 0.6213 (multiplicity 8)